Computed, not measured: Li3MnAu12 after structural relaxation at the PBE level of DFT.

Properties
The volume comes out at 17.00 Å³ per atom. Its total magnetic moment is 0.286 μB/atom. As for the calculated formation energy: -4.32 eV/f.u.

Unit cell a=4.091 b=4.091 c=16.256 alpha=90.00 beta=90.00 gamma=90.00
Last column: magnetic moment on the atom in μB.
Fractional coordinates of all 16 atoms:
1 Au 0.500 0.500 0.500  0.00
2 Au 0.000 0.500 0.126  0.04
3 Au 0.000 0.500 0.376  0.00
4 Li 0.000 0.000 0.748  0.00
5 Au 0.000 0.500 0.624  0.00
6 Li 0.000 0.000 0.252  0.00
7 Au 0.000 0.500 0.874  0.04
8 Li 0.000 0.000 0.500  0.00
9 Au 0.500 0.500 0.749  0.01
10 Au 0.500 0.000 0.376  0.00
11 Au 0.500 0.000 0.874  0.04
12 Au 0.500 0.500 0.251  0.01
13 Au 0.500 0.500 0.000  0.05
14 Au 0.500 0.000 0.624  0.00
15 Mn 0.000 0.000 0.000  4.13
16 Au 0.500 0.000 0.126  0.04